[1]
This record from OQMD via LeMat-Bulk describes a relaxed structure of Co2BiB2. The functional is PBE.

Values from the calculation:
Final energy ... -6.046 eV per atom

```
5
Lattice="3.472 0.000 0.000 -1.736 3.007 0.000 0.000 0.000 6.164" Properties=species:S:1:pos:R:3 pbc="T T T"
Co 0.000 2.005 0.871
Co 1.736 1.002 5.293
Bi 0.000 0.000 3.082
B 0.000 2.005 5.103
B 1.736 1.002 1.060
```


[2]
This record from OQMD via LeMat-Bulk describes a relaxed structure of CoBiB. The functional is PBE.

Values from the calculation:
Final energy ... -5.011 eV per atom

```
3
Lattice="0.000 2.858 2.858 2.858 0.000 2.858 2.858 2.858 0.000" Properties=species:S:1:pos:R:3 pbc="T T T"
Co 0.000 0.000 0.000
Bi 1.429 1.429 1.429
B 4.287 4.287 4.287
```


[3]
This record from OQMD via LeMat-Bulk describes a relaxed structure of LiCoBiB. The functional is PBE.

Values from the calculation:
Final energy ... -4.271 eV per atom

```
4
Lattice="0.000 3.010 3.010 3.010 0.000 3.010 3.010 3.010 0.000" Properties=species:S:1:pos:R:3 pbc="T T T"
Li 0.000 0.000 0.000
Co 3.010 3.010 3.010
Bi 1.505 1.505 1.505
B 4.515 4.515 4.515
```


[4]
This record from OQMD via LeMat-Bulk describes a relaxed structure of LiCoBiB. The functional is PBE.

Values from the calculation:
Final energy ... -4.066 eV per atom

```
4
Lattice="0.000 3.043 3.043 3.043 0.000 3.043 3.043 3.043 0.000" Properties=species:S:1:pos:R:3 pbc="T T T"
Li 0.000 0.000 0.000
Co 4.564 4.564 4.564
Bi 1.521 1.521 1.521
B 3.043 3.043 3.043
```


[5]
This record from OQMD via LeMat-Bulk describes a relaxed structure of CuBi2B. The functional is PBE.

Values from the calculation:
Final energy ... -3.385 eV per atom

```
4
Lattice="0.000 3.525 3.525 3.525 0.000 3.525 3.525 3.525 0.000" Properties=species:S:1:pos:R:3 pbc="T T T"
Cu 0.000 0.000 0.000
Bi 3.525 3.525 3.525
Bi 5.288 5.288 5.288
B 1.763 1.763 1.763
```


[6]
This record from OQMD via LeMat-Bulk describes a relaxed structure of CuBiB. The functional is PBE.

Values from the calculation:
Final energy ... -3.876 eV per atom

```
3
Lattice="0.000 2.961 2.961 2.961 0.000 2.961 2.961 2.961 0.000" Properties=species:S:1:pos:R:3 pbc="T T T"
Cu 0.000 0.000 0.000
Bi 2.961 2.961 2.961
B 4.442 4.442 4.442
```


Q: Which value of final energy does entry 4 give?
A: -4.066 eV per atom


Please write out number 4 again, unchanged.
This record from OQMD via LeMat-Bulk describes a relaxed structure of LiCoBiB. The functional is PBE.

Values from the calculation:
Final energy ... -4.066 eV per atom

```
4
Lattice="0.000 3.043 3.043 3.043 0.000 3.043 3.043 3.043 0.000" Properties=species:S:1:pos:R:3 pbc="T T T"
Li 0.000 0.000 0.000
Co 4.564 4.564 4.564
Bi 1.521 1.521 1.521
B 3.043 3.043 3.043
```


Q: The lowest final energy belongs to which entry?
A: Co2BiB2